1.
Compound: BC2
Source: Alexandria
Functional: GGA-PBE
Structure: relaxed

Summary:
Space-group type   Pm
Total moment   0.0 μB/cell
Crystal system   monoclinic

Cell: 3.8074 2.5171 8.0487 Å, 90.00 91.75 90.00°
Last column: nearest neighbours and their distance in Å.
Positions (direct):
B: 0.0000 0.0000 0.0000  4 C 1.61-1.70
B: 0.0211 0.0000 0.6469  2 C 1.58-1.70, 2 B 1.72
B: 0.4976 0.5000 0.4613  3 C 1.58-1.60
B: 0.7350 0.5000 0.6976  1 C 1.56, 2 B 1.72
C: 0.0056 0.0000 0.3177  4 C 1.55-1.59
C: 0.2314 0.0000 0.8364  2 C 1.55, 2 B 1.61-1.70
C: 0.2438 0.0000 0.4841  3 B 1.58-1.60, 1 C 1.59
C: 0.2499 0.0000 0.1654  3 C 1.56, 1 B 1.61
C: 0.4687 0.5000 0.8415  3 C 1.54-1.55, 1 B 1.56
C: 0.4920 0.5000 0.1630  4 C 1.53-1.60
C: 0.6987 0.5000 0.0023  2 C 1.53-1.54, 2 B 1.70
C: 0.7687 0.5000 0.3173  3 C 1.55-1.60, 1 B 1.58


2.
Compound: BC2
Source: Alexandria
Functional: GGA-PBE
Structure: relaxed

Summary:
Space-group type   Cm
Total moment   0.0 μB/cell
Crystal system   monoclinic

Cell: 4.5338 4.5338 7.8629 Å, 116.36 116.36 32.11°
Last column: nearest neighbours and their distance in Å.
Positions (direct):
B: 0.0000 0.0000 0.0000  2 C 1.61-1.62, 2 B 1.77
B: 0.3357 0.3357 0.6910  3 C 1.59-1.72
B: 0.5019 0.5019 0.1604  2 C 1.60-1.61, 2 B 1.77
B: 0.5150 0.5150 0.6326  3 C 1.64-1.70, 1 B 1.82
C: 0.0130 0.0130 0.4976  2 C 1.58, 2 B 1.64
C: 0.1742 0.1742 0.4574  3 C 1.51-1.58
C: 0.1743 0.1743 0.9777  3 C 1.54-1.57, 1 B 1.61
C: 0.3306 0.3306 0.1859  3 C 1.55-1.57, 1 B 1.60
C: 0.6729 0.6729 0.8641  3 C 1.53-1.54, 1 B 1.70
C: 0.6826 0.6826 0.3543  3 C 1.51-1.57, 1 B 1.61
C: 0.8173 0.8173 0.8047  1 C 1.53, 3 B 1.59-1.62
C: 0.8372 0.8372 0.3047  4 C 1.55-1.58


The most stable of them is 2.


1.
Compound: TcIr2Pt
Source: Alexandria
Functional: GGA-PBE
Structure: relaxed

Summary:
Space-group type   Pmm2
Total moment   0.0 μB/cell
Crystal system   orthorhombic

Cell: 2.7352 3.9209 5.4985 Å, 90.00 90.00 90.00°
Last column: nearest neighbours and their distance in Å.
Positions (direct):
Tc: 0.0000 0.0000 0.0000  6 Ir 2.67-2.83, 2 Tc 2.74, 4 Pt 2.77
Ir: 0.0000 0.0000 0.4857  2 Tc 2.67-2.83, 6 Ir 2.74-2.76, 4 Pt 2.78
Ir: 0.5000 0.5000 0.2346  2 Pt 2.70-2.80, 4 Tc 2.72, 6 Ir 2.74-2.76
Pt: 0.5000 0.5000 0.7438  6 Ir 2.70-2.80, 2 Pt 2.74, 4 Tc 2.77


2.
Compound: TcIr2Pt
Source: Alexandria
Functional: GGA-PBE
Structure: relaxed

Summary:
Space-group type   R3m
Total moment   0.2 μB/cell
Crystal system   trigonal

Cell: 9.1656 9.1656 9.1656 Å, 17.27 17.27 17.27°
Last column: nearest neighbours and their distance in Å.
Positions (direct):
Tc: 0.0000 0.0000 0.0000  3 Ir 2.67, 6 Tc 2.75, 3 Pt 2.77
Ir: 0.2543 0.2543 0.2543  3 Tc 2.67, 9 Ir 2.75-2.76
Ir: 0.5041 0.5041 0.5041  9 Ir 2.75-2.76, 3 Pt 2.84
Pt: 0.7506 0.7506 0.7506  6 Pt 2.75, 3 Tc 2.77, 3 Ir 2.84


The most stable of them is 1.


1.
Compound: MgTa2P
Source: Alexandria
Functional: GGA-PBE
Structure: relaxed

Summary:
Space-group type   P2/m
Total moment   0.0 μB/cell
Crystal system   monoclinic

Cell: 2.9532 4.3571 5.4053 Å, 90.00 97.23 90.00°
Last column: nearest neighbours and their distance in Å.
Positions (direct):
Mg: 0.0000 0.0000 0.0000  8 Ta 2.85-3.10, 2 P 2.91, 2 Mg 2.95
Ta: 0.3580 0.5000 0.7442  2 P 2.61, 2 Ta 2.79-2.87, 2 Mg 2.85
Ta: 0.6420 0.5000 0.2558  2 P 2.61, 2 Ta 2.79-2.87, 2 Mg 2.85
P: 0.5000 0.0000 0.5000  4 Ta 2.61, 2 Mg 2.91


2.
Compound: MgTa2P
Source: Alexandria
Functional: GGA-PBE
Structure: relaxed

Summary:
Space-group type   Cmmm
Total moment   0.0 μB/cell
Crystal system   orthorhombic

Cell: 4.6676 4.6676 3.1344 Å, 90.00 90.00 105.12°
Last column: nearest neighbours and their distance in Å.
Positions (direct):
Mg: 0.0000 0.0000 0.0000  8 Ta 2.81, 2 P 2.84, 2 Mg 3.13
Ta: 0.0000 0.5000 0.5000  4 Mg 2.81, 4 P 2.81, 4 Ta 2.84-3.13
Ta: 0.5000 0.0000 0.5000  4 Mg 2.81, 4 P 2.81, 4 Ta 2.84-3.13
P: 0.5000 0.5000 0.0000  8 Ta 2.81, 2 Mg 2.84, 2 P 3.13


The most stable of them is 1.


1.
Compound: B5C7
Source: Alexandria
Functional: GGA-PBE
Structure: relaxed

Summary:
Space-group type   Cm
Total moment   0.0 μB/cell
Crystal system   monoclinic

Cell: 4.4176 4.4176 8.2330 Å, 116.84 116.84 33.19°
Last column: nearest neighbours and their distance in Å.
Positions (direct):
B: 0.0000 0.0000 0.0000  4 C 1.55-1.67
B: 0.0233 0.0233 0.5475  2 C 1.66, 1 B 1.69
B: 0.1410 0.1410 0.4295  2 C 1.64, 1 B 1.69
B: 0.3093 0.3093 0.6790  3 C 1.63-1.68
B: 0.8518 0.8518 0.2959  3 C 1.63-1.70
C: 0.1734 0.1734 0.9698  3 C 1.51-1.56, 1 B 1.60
C: 0.3421 0.3421 0.1528  2 C 1.49-1.51
C: 0.4929 0.4929 0.6600  1 C 1.55, 3 B 1.63-1.66
C: 0.5107 0.5107 0.1378  2 C 1.48-1.49
C: 0.6598 0.6598 0.8518  4 C 1.51-1.56
C: 0.6720 0.6720 0.3213  1 C 1.48, 3 B 1.63-1.64
C: 0.8204 0.8204 0.8182  1 C 1.51, 3 B 1.55-1.68


2.
Compound: B5C7
Source: Alexandria
Functional: GGA-PBE
Structure: relaxed

Summary:
Space-group type   P1
Total moment   0.0 μB/cell
Crystal system   triclinic

Cell: 4.4744 4.5402 4.7565 Å, 99.80 100.66 118.74°
Last column: nearest neighbours and their distance in Å.
Positions (direct):
B: 0.0000 0.0000 0.0000  2 C 1.56-1.63, 1 B 1.73
B: 0.0022 0.7115 0.1960  2 C 1.58-1.61, 1 B 1.73
B: 0.3457 0.6161 0.9904  2 C 1.55-1.58, 1 B 1.72
B: 0.4962 0.4850 0.5337  4 C 1.65-1.67
B: 0.6875 0.0412 0.1911  2 C 1.58-1.65, 1 B 1.72
C: 0.1672 0.8302 0.5476  3 C 1.56-1.57, 1 B 1.58
C: 0.1837 0.5267 0.6483  2 B 1.55-1.67, 2 C 1.56-1.57
C: 0.3910 0.3617 0.1596  3 B 1.58-1.67, 1 C 1.60
C: 0.5369 0.1909 0.6704  3 C 1.55-1.57, 1 B 1.65
C: 0.6690 0.3187 0.0172  2 C 1.55-1.60, 2 B 1.61-1.65
C: 0.8215 0.1592 0.5461  3 C 1.55-1.57, 1 B 1.58
C: 0.8749 0.8760 0.6494  2 C 1.56-1.57, 2 B 1.56-1.66


The most stable of them is 1.


1.
Compound: YSc2W
Source: Alexandria
Functional: GGA-PBE
Structure: relaxed

Summary:
Space-group type   R-3m
Total moment   0.0 μB/cell
Crystal system   trigonal

Cell: 11.1533 11.1533 11.1533 Å, 16.13 16.13 16.13°
Last column: nearest neighbours and their distance in Å.
Positions (direct):
Y: 0.0000 0.0000 0.0000  6 Y 3.13, 2 Sc 3.25
Sc: 0.0984 0.0984 0.0984  3 W 2.89, 6 Sc 3.13
Sc: 0.9016 0.9016 0.9016  3 W 2.89, 6 Sc 3.13
W: 0.5000 0.5000 0.5000  6 Sc 2.89, 6 W 3.13


2.
Compound: YSc2W
Source: Alexandria
Functional: GGA-PBE
Structure: relaxed

Summary:
Space-group type   P4mm
Total moment   0.0 μB/cell
Crystal system   tetragonal

Cell: 3.5981 3.5981 7.3009 Å, 90.00 90.00 90.00°
Last column: nearest neighbours and their distance in Å.
Positions (direct):
Y: 0.0000 0.0000 0.0000  1 Sc 3.06, 4 W 3.15
Sc: 0.0000 0.0000 0.5805  4 W 2.81, 1 Y 3.06, 4 Sc 3.08
Sc: 0.5000 0.5000 0.3431  1 W 2.94, 4 Sc 3.08
W: 0.5000 0.5000 0.7453  5 Sc 2.81-2.94, 4 Y 3.15


The most stable of them is 2.


1.
Compound: ScSe2N2
Source: Alexandria
Functional: GGA-PBE
Structure: relaxed

Summary:
Space-group type   P4/mmm
Total moment   0.0 μB/cell
Crystal system   tetragonal

Cell: 3.9078 3.9078 5.0429 Å, 90.00 90.00 90.00°
Last column: nearest neighbours and their distance in Å.
Positions (direct):
Sc: 0.0000 0.0000 0.0000  4 Se 2.76
Se: 0.5000 0.5000 0.0000  2 Se 2.52, 4 Sc 2.76
Se: 0.5000 0.5000 0.5000  4 N 1.95
N: 0.0000 0.5000 0.5000  2 Se 1.95
N: 0.5000 0.0000 0.5000  2 Se 1.95


2.
Compound: ScSe2N2
Source: Alexandria
Functional: GGA-PBE
Structure: relaxed

Summary:
Space-group type   P4/mbm
Total moment   0.0 μB/cell
Crystal system   tetragonal

Cell: 7.0560 7.0560 3.2756 Å, 90.00 90.00 90.00°
Last column: nearest neighbours and their distance in Å.
Positions (direct):
Sc: 0.0000 0.0000 0.0000  4 Se 2.67, 8 N 2.99
Sc: 0.5000 0.5000 0.0000  4 Se 2.67, 8 N 2.99
Se: 0.1544 0.3456 0.0000  2 N 1.98
Se: 0.3456 0.8456 0.0000  2 N 1.98
Se: 0.6544 0.1544 0.0000  2 N 1.98
Se: 0.8456 0.6544 0.0000  2 N 1.98
N: 0.2345 0.7345 0.5000  2 Se 1.98
N: 0.2655 0.2345 0.5000  2 Se 1.98
N: 0.7345 0.7655 0.5000  2 Se 1.98
N: 0.7655 0.2655 0.5000  2 Se 1.98


The most stable of them is 2.